Density functional theory data (GGA-PBE) for a relaxed RbNdY4S8 crystal.

Computed properties:
The calculation puts the uncorrected energy at -6.514 eV/atom. Its space group is R3m. As for the calculated volume: 29.25 A^3/atom.

Cell and atoms, written as extended XYZ:
```
14
Lattice="4.138 2.389 6.902 -4.138 2.389 6.902 0.000 -4.779 6.902" Properties=species:S:1:pos:R:3 pbc="T T T"
Rb 0.000 0.000 0.000
Nd 0.000 0.000 13.124
Y -2.140 -1.235 9.542
Y 0.000 0.000 5.268
Y 2.140 -1.235 9.542
Y 0.000 2.471 9.542
S 0.000 -2.281 11.218
S -1.975 1.140 11.218
S 0.000 0.000 7.992
S -1.792 -1.034 14.944
S 0.000 0.000 17.783
S 1.975 1.140 11.218
S 1.792 -1.034 14.944
S 0.000 2.069 14.944
```